No. 1
VASP calculation (PBE) on ReBrF3 after structural relaxation.

- DOS at the Fermi energy (states/eV per cell) = 5.9
- raw total energy (eV for the cell shown) = -23.72
- ΔE_f (raw) (eV per atom) = -0.7971

Geometry as extended XYZ:
```
5
Lattice="-2.821 2.106 -2.307 -3.101 -1.512 2.412 0.378 3.316 2.565" Properties=species:S:1:pos:R:3 pbc="T T T"
Re 0.000 0.000 0.000
Br -2.772 1.955 1.335
F -1.550 -0.756 1.206
F 0.189 1.658 1.283
F -1.411 1.053 -1.153
```


No. 2
VASP calculation (PBE) on EuHoNiPt after structural relaxation.

- DOS at the Fermi energy (states/eV per cell) = 8.8
- energy of formation (eV/atom) = -0.63
- raw total energy (eV for the cell shown) = -29.18

Geometry as extended XYZ:
```
4
Lattice="4.924 0.000 0.000 2.462 4.264 0.000 2.462 1.421 4.020" Properties=species:S:1:pos:R:3 pbc="T T T"
Eu 0.000 0.000 0.000
Ni 2.462 1.421 1.005
Ho 4.924 2.843 2.010
Pt 7.385 4.264 3.015
```


No. 3
VASP calculation (PBE) on NbFeNiRh after structural relaxation.

- DOS at the Fermi energy (states/eV per cell) = 1.7
- energy of formation (eV/atom) = -0.28
- raw total energy (eV for the cell shown) = -32.79

Geometry as extended XYZ:
```
4
Lattice="-1.995 -2.865 1.403 2.982 -2.326 -0.509 1.239 0.831 3.457" Properties=species:S:1:pos:R:3 pbc="T T T"
Nb 0.493 -2.595 0.447
Fe 2.110 -0.747 1.474
Ni -0.378 -1.017 2.430
Rh 0.000 0.000 0.000
```


No. 4
VASP calculation (PBE) on CaInP4 after structural relaxation.

- DOS at the Fermi energy (states/eV per cell) = 4.3
- energy of formation (eV/atom) = 0.05
- raw total energy (eV for the cell shown) = -26.10

Geometry as extended XYZ:
```
6
Lattice="-0.711 1.150 5.349 -0.239 5.248 1.685 -4.783 2.119 1.754" Properties=species:S:1:pos:R:3 pbc="T T T"
Ca -4.299 6.388 6.592
In 0.000 0.000 0.000
P -2.463 3.712 6.155
P -4.737 4.253 4.147
P -2.199 6.001 4.109
P -2.066 3.070 3.167
```